VASP calculation (PBE) on crystalline Os2ClF8 at its relaxed geometry.

- V: 18.18 Å³ per atom
- M_tot: 5.1 μB per formula unit
- Uncorrected energy: -4.973 eV/atom
- Mass density: 4.72 Mg/m³
- Formation energy from raw total energies: -1.40 eV per atom

CIF file:
```
data_Os2ClF8
_chemical_formula_sum 'Os4 Cl2 F16'
_cell_length_a 6.048
_cell_length_b 9.152
_cell_length_c 7.271
_cell_angle_alpha 90.00
_cell_angle_beta 96.38
_cell_angle_gamma 90.00
_symmetry_space_group_name_H-M 'C 1 2/m 1'
_symmetry_Int_Tables_number 12
loop_
_symmetry_equiv_pos_as_xyz
'x,y,z'
'-x,-y,-z'
'-x,y,-z'
'x,-y,z'
'x+1/2,y+1/2,z'
'-x+1/2,-y+1/2,-z'
'-x+1/2,y+1/2,-z'
'x+1/2,-y+1/2,z'
loop_
_atom_site_label
_atom_site_type_symbol
_atom_site_fract_x
_atom_site_fract_y
_atom_site_fract_z
_atom_site_occupancy
Os1 Os 0.126 0.000 0.209 1
Cl1 Cl 0.000 0.000 0.500 1
F1 F 0.073 0.500 0.692 1
F2 F 0.117 0.206 0.202 1
F3 F 0.192 0.000 0.944 1
```